A plane-wave DFT calculation with GGA-PBEsol was carried out for a relaxed structure of ScAgOs2S.

a = 4.3039 Å, b = 4.3039 Å, c = 4.6294 Å
α = 90.00°, β = 90.00°, γ = 90.00°
Closest atoms and distances in Å follow each position.
Fractional coordinates of all 5 atoms:
Os  0.0000  0.5000  0.0000  2 S 2.15
Os  0.5000  0.0000  0.0000  2 S 2.15
Sc  0.0000  0.0000  0.5000  2 S 2.31
S  0.0000  0.0000  0.0000  4 Os 2.15, 2 Sc 2.31
Ag  0.5000  0.5000  0.5000  4 Sc 3.04, 8 Os 3.16

Calculated values
SG	P4/mmm (123)
total magnetic moment	0.0	Bohr magnetons per cell
ΔE_f (raw)	0.4024	eV per atom
total energy	-36.72	eV per cell

A plane-wave DFT calculation with GGA-PBEsol was carried out for a relaxed structure of AgPb.

a = 4.1148 Å, b = 4.1148 Å, c = 4.1148 Å
α = 60.00°, β = 60.00°, γ = 60.00°
Closest atoms and distances in Å follow each position.
Fractional coordinates of all 2 atoms:
Pb  0.5000  0.5000  0.5000  6 Ag 2.91
Ag  0.0000  0.0000  0.0000  6 Pb 2.91

Calculated values
formation enthalpy at 0 K	24	kJ/mol of atoms
SG	Fm-3m (225)
total magnetic moment	0.0	Bohr magnetons per cell
total energy	-6.81	eV per cell

A plane-wave DFT calculation with GGA-PBEsol was carried out for a relaxed structure of Tl3Hg2.

a = 4.9361 Å, b = 4.9361 Å, c = 6.8308 Å
α = 90.00°, β = 90.00°, γ = 120.00°
Closest atoms and distances in Å follow each position.
Fractional coordinates of all 5 atoms:
Hg  0.3333  0.6667  0.8207  7 Tl 3.09-3.19
Hg  0.6667  0.3333  0.1793  7 Tl 3.09-3.19
Tl  0.0000  0.0000  0.0000  6 Hg 3.10
Tl  0.6667  0.3333  0.6469  4 Hg 3.09-3.19
Tl  0.3333  0.6667  0.3531  4 Hg 3.09-3.19

Calculated values
formation enthalpy at 0 K	2	kJ/mol of atoms
SG	P-3m1 (164)
total magnetic moment	0.0	Bohr magnetons per cell
total energy	-8.91	eV per cell

A plane-wave DFT calculation with GGA-PBEsol was carried out for a relaxed structure of LiY2Ir.

a = 4.8593 Å, b = 4.8593 Å, c = 4.8593 Å
α = 60.00°, β = 60.00°, γ = 60.00°
Closest atoms and distances in Å follow each position.
Fractional coordinates of all 4 atoms:
Li  0.0000  0.0000  0.0000  8 Y 2.98
Y  0.2500  0.2500  0.2500  4 Li 2.98, 4 Ir 2.98
Y  0.7500  0.7500  0.7500  4 Ir 2.98, 4 Li 2.98
Ir  0.5000  0.5000  0.5000  8 Y 2.98

Calculated values
formation enthalpy at 0 K	-53	kJ/mol of atoms
SG	Fm-3m (225)
total magnetic moment	0.0	Bohr magnetons per cell
total energy	-27.62	eV per cell

A plane-wave DFT calculation with GGA-PBEsol was carried out for a relaxed structure of KAuBr2.

a = 5.2404 Å, b = 5.2404 Å, c = 5.2404 Å
α = 60.00°, β = 60.00°, γ = 60.00°
Closest atoms and distances in Å follow each position.
Fractional coordinates of all 4 atoms:
Br  0.0000  0.0000  0.0000  4 K 3.21, 4 Br 3.21
Br  0.7500  0.7500  0.7500  4 Br 3.21, 4 Au 3.21
K  0.2500  0.2500  0.2500  4 Br 3.21, 4 Au 3.21
Au  0.5000  0.5000  0.5000  4 Br 3.21, 4 K 3.21

Calculated values
SG	F-43m (216)
total magnetic moment	0.0	Bohr magnetons per cell
ΔE_f (raw)	-0.1902	eV per atom
excess energy over the best structure of this formula in the dataset	0.6363	eV per atom
total energy	-9.56	eV per cell

A plane-wave DFT calculation with GGA-PBEsol was carried out for a relaxed structure of LiAl5.

a = 2.8067 Å, b = 4.7522 Å, c = 7.4430 Å
α = 90.00°, β = 100.64°, γ = 90.00°
Closest atoms and distances in Å follow each position.
Fractional coordinates of all 6 atoms:
Al  0.4432  0.5000  0.8862  10 Al 2.81-2.89, 2 Li 2.82-2.83
Al  0.7764  0.5000  0.5527  2 Li 2.80, 10 Al 2.81-2.89
Al  0.3330  0.0000  0.6681  12 Al 2.80-2.89
Al  0.6681  0.0000  0.3360  8 Al 2.80-2.86, 4 Li 2.88-2.89
Al  0.0011  0.0000  0.0025  10 Al 2.81-2.89, 2 Li 2.86
Li  0.1114  0.5000  0.2213  10 Al 2.80-2.89, 2 Li 2.81

Calculated values
formation enthalpy at 0 K	-1	kJ/mol of atoms
SG	Pm (6)
total magnetic moment	0.0	Bohr magnetons per cell
excess energy over the best structure of this formula in the dataset	0.0312	eV per atom
total energy	-22.49	eV per cell

A plane-wave DFT calculation with GGA-PBEsol was carried out for a relaxed structure of Li2GaC2.

a = 3.4631 Å, b = 5.2469 Å, c = 5.2469 Å
α = 90.00°, β = 90.00°, γ = 90.00°
Closest atoms and distances in Å follow each position.
Fractional coordinates of all 10 atoms:
Ga  0.0000  0.0000  0.0000  4 C 2.19
Ga  0.0000  0.5000  0.5000  4 C 2.19
C  0.0000  0.4078  0.9078  1 C 1.37
C  0.0000  0.9078  0.5922  1 C 1.37
C  0.0000  0.5922  0.0922  1 C 1.37
C  0.0000  0.0922  0.4078  1 C 1.37
Li  0.5000  0.3271  0.1729  6 C 2.26-2.46
Li  0.5000  0.6729  0.8271  6 C 2.26-2.46
Li  0.5000  0.1729  0.6729  6 C 2.26-2.46
Li  0.5000  0.8271  0.3271  6 C 2.26-2.46

Calculated values
formation enthalpy at 0 K	16	kJ/mol of atoms
SG	P4/mbm (127)
total magnetic moment	0.0	Bohr magnetons per cell
total energy	-51.49	eV per cell

A plane-wave DFT calculation with GGA-PBEsol was carried out for a relaxed structure of La3Al5O12.

a = 10.7064 Å, b = 10.7064 Å, c = 10.7064 Å
α = 109.47°, β = 109.47°, γ = 109.47°
Closest atoms and distances in Å follow each position.
Fractional coordinates of all 80 atoms:
O  0.8865  0.8070  0.4878  2 Al 1.79-1.95
O  0.1807  0.5794  0.6930  2 Al 1.79-1.95
O  0.6013  0.4878  0.6807  2 Al 1.79-1.95
O  0.8987  0.5794  0.8865  2 Al 1.79-1.95
O  0.1013  0.6807  0.4878  2 Al 1.79-1.95
O  0.0122  0.8987  0.8193  2 Al 1.79-1.95
O  0.3865  0.8987  0.0794  2 Al 1.79-1.95
O  0.3193  0.0122  0.3987  2 Al 1.79-1.95
O  0.4878  0.1807  0.1013  2 Al 1.79-1.95
O  0.9878  0.8865  0.3070  2 Al 1.79-1.95
O  0.1930  0.1807  0.0794  2 Al 1.79-1.95
O  0.8070  0.9878  0.3865  2 Al 1.79-1.95
O  0.8193  0.4206  0.3070  2 Al 1.79-1.95
O  0.3193  0.3070  0.4206  2 Al 1.79-1.95
O  0.6807  0.9878  0.6013  2 Al 1.79-1.95
O  0.0122  0.1135  0.6930  2 Al 1.79-1.95
O  0.5794  0.1930  0.6807  2 Al 1.79-1.95
O  0.6013  0.1135  0.4206  2 Al 1.79-1.95
O  0.0794  0.6807  0.1930  2 Al 1.79-1.95
O  0.3070  0.3865  0.9878  2 Al 1.79-1.95
O  0.9206  0.6013  0.6135  2 Al 1.79-1.95
O  0.1807  0.6013  0.9878  2 Al 1.79-1.95
O  0.1135  0.9206  0.1013  2 Al 1.79-1.95
O  0.0794  0.3987  0.3865  2 Al 1.79-1.95
O  0.4206  0.6135  0.6013  2 Al 1.79-1.95
O  0.3987  0.8865  0.5794  2 Al 1.79-1.95
O  0.3070  0.9206  0.8193  2 Al 1.79-1.95
O  0.6930  0.0794  0.1807  2 Al 1.79-1.95
O  0.9878  0.1013  0.1807  2 Al 1.79-1.95
O  0.6135  0.5122  0.1930  2 Al 1.79-1.95
O  0.8987  0.3193  0.5122  2 Al 1.79-1.95
O  0.6135  0.1013  0.9206  2 Al 1.79-1.95
O  0.5122  0.8193  0.8987  2 Al 1.79-1.95
O  0.5794  0.3865  0.3987  2 Al 1.79-1.95
O  0.8865  0.0794  0.8987  2 Al 1.79-1.95
O  0.8193  0.3987  0.0122  2 Al 1.79-1.95
O  0.3987  0.5122  0.3193  2 Al 1.79-1.95
O  0.6930  0.6135  0.0122  2 Al 1.79-1.95
O  0.9206  0.3193  0.8070  2 Al 1.79-1.95
O  0.6807  0.6930  0.5794  2 Al 1.79-1.95
O  0.4878  0.3070  0.8865  2 Al 1.79-1.95
O  0.1930  0.0122  0.6135  2 Al 1.79-1.95
O  0.3865  0.4878  0.8070  2 Al 1.79-1.95
O  0.5122  0.6930  0.1135  2 Al 1.79-1.95
O  0.1135  0.1930  0.5122  2 Al 1.79-1.95
O  0.8070  0.8193  0.9206  2 Al 1.79-1.95
O  0.4206  0.8070  0.3193  2 Al 1.79-1.95
O  0.1013  0.4206  0.1135  2 Al 1.79-1.95
La  0.3750  0.1250  0.2500  8 O 2.40-2.57
La  0.2500  0.6250  0.3750  8 O 2.40-2.57
La  0.8750  0.6250  0.2500  8 O 2.40-2.57
La  0.1250  0.3750  0.7500  8 O 2.40-2.57
La  0.7500  0.8750  0.1250  8 O 2.40-2.57
La  0.3750  0.2500  0.6250  8 O 2.40-2.57
La  0.2500  0.1250  0.8750  8 O 2.40-2.57
La  0.8750  0.2500  0.1250  8 O 2.40-2.57
La  0.1250  0.7500  0.8750  8 O 2.40-2.57
La  0.6250  0.7500  0.3750  8 O 2.40-2.57
La  0.7500  0.3750  0.6250  8 O 2.40-2.57
La  0.6250  0.8750  0.7500  8 O 2.40-2.57
Al  0.8750  0.7500  0.6250  4 O 1.79
Al  0.7500  0.6250  0.8750  4 O 1.79
Al  0.5000  0.5000  0.0000  6 O 1.95
Al  0.2500  0.3750  0.1250  4 O 1.79
Al  0.1250  0.8750  0.2500  4 O 1.79
Al  0.8750  0.1250  0.7500  4 O 1.79
Al  0.0000  0.5000  0.5000  6 O 1.95
Al  0.5000  0.0000  0.0000  6 O 1.95
Al  0.6250  0.2500  0.8750  4 O 1.79
Al  0.5000  0.0000  0.5000  6 O 1.95
Al  0.2500  0.8750  0.6250  4 O 1.79
Al  0.0000  0.0000  0.5000  6 O 1.95
Al  0.0000  0.5000  0.0000  6 O 1.95
Al  0.1250  0.2500  0.3750  4 O 1.79
Al  0.6250  0.3750  0.2500  4 O 1.79
Al  0.3750  0.6250  0.7500  4 O 1.79
Al  0.7500  0.1250  0.3750  4 O 1.79
Al  0.5000  0.5000  0.5000  6 O 1.95
Al  0.0000  0.0000  0.0000  6 O 1.95
Al  0.3750  0.7500  0.1250  4 O 1.79

Calculated values
SG	Ia-3d (230)
total magnetic moment	0.0	Bohr magnetons per cell
ΔE_f (raw)	-3.2331	eV per atom
total energy	-656.61	eV per cell

A plane-wave DFT calculation with GGA-PBEsol was carried out for a relaxed structure of GdTa4O12.

a = 5.4870 Å, b = 5.4870 Å, c = 7.7657 Å
α = 90.00°, β = 90.00°, γ = 89.01°
Closest atoms and distances in Å follow each position.
Fractional coordinates of all 17 atoms:
O  0.3122  0.7102  0.0000  2 Ta 2.04
O  0.2149  0.8076  0.5000  2 Ta 1.92
O  0.5231  0.9767  0.7726  2 Ta 1.98
O  0.9927  0.9927  0.1889  2 Ta 1.99
O  0.9767  0.5231  0.2274  2 Ta 1.98
O  0.8076  0.2149  0.5000  2 Ta 1.92
O  0.4844  0.4844  0.7157  2 Ta 1.94
O  0.9767  0.5231  0.7726  2 Ta 1.98
O  0.9927  0.9927  0.8111  2 Ta 1.99
O  0.5231  0.9767  0.2274  2 Ta 1.98
O  0.4844  0.4844  0.2843  2 Ta 1.94
O  0.7102  0.3122  0.0000  2 Ta 2.04
Ta  0.7507  0.2493  0.2575  6 O 1.92-2.04
Ta  0.2493  0.7507  0.7425  6 O 1.92-2.04
Ta  0.7507  0.2493  0.7425  6 O 1.92-2.04
Ta  0.2493  0.7507  0.2575  6 O 1.92-2.04
Gd  0.7464  0.7464  0.0000  8 O 2.39-2.48

Calculated values
SG	Amm2 (38)
total magnetic moment	7.9	Bohr magnetons per cell
ΔE_f (raw)	-2.8280	eV per atom
total energy	-175.72	eV per cell

A plane-wave DFT calculation with GGA-PBEsol was carried out for a relaxed structure of VCdClO3.

a = 3.6300 Å, b = 6.8613 Å, c = 15.7460 Å
α = 90.00°, β = 90.00°, γ = 90.00°
Closest atoms and distances in Å follow each position.
Fractional coordinates of all 24 atoms:
V  0.7500  0.1821  0.5042  2 O 1.63-1.69
V  0.2500  0.8179  0.4958  2 O 1.63-1.69
V  0.7500  0.3179  0.0042  2 O 1.63-1.69
V  0.2500  0.6821  0.9958  2 O 1.63-1.69
O  0.7500  0.3171  0.5943  1 V 1.69
O  0.7500  0.1829  0.0943  1 V 1.69
O  0.2500  0.8248  0.0784  1 V 1.63
O  0.7500  0.8954  0.4914  3 V 1.89-1.98
O  0.2500  0.6752  0.5784  1 V 1.63
O  0.2500  0.8171  0.9057  1 V 1.69
O  0.2500  0.1046  0.5086  3 V 1.89-1.98
O  0.2500  0.3954  0.0086  3 V 1.89-1.98
O  0.7500  0.3248  0.4216  1 V 1.63
O  0.2500  0.6829  0.4057  1 V 1.69
O  0.7500  0.6046  0.9914  3 V 1.89-1.98
O  0.7500  0.1752  0.9216  1 V 1.63
Cl  0.2500  0.4394  0.2294  3 Cd 2.58-2.67
Cl  0.2500  0.0606  0.7294  3 Cd 2.58-2.67
Cl  0.7500  0.5606  0.7706  3 Cd 2.58-2.67
Cl  0.7500  0.9394  0.2706  3 Cd 2.58-2.67
Cd  0.2500  0.4252  0.6699  3 O 2.24-2.29
Cd  0.7500  0.5748  0.3301  3 O 2.24-2.29
Cd  0.7500  0.9252  0.8301  3 O 2.24-2.29
Cd  0.2500  0.0748  0.1699  3 O 2.24-2.29

Calculated values
SG	Pnma (62)
total magnetic moment	0.0	Bohr magnetons per cell
ΔE_f (raw)	-1.8234	eV per atom
total energy	-158.11	eV per cell

A plane-wave DFT calculation with GGA-PBEsol was carried out for a relaxed structure of K2BeNi.

a = 3.6965 Å, b = 5.4677 Å, c = 6.1936 Å
α = 116.19°, β = 107.36°, γ = 90.00°
Closest atoms and distances in Å follow each position.
Fractional coordinates of all 4 atoms:
Be  0.1672  0.6672  0.3343  2 Ni 2.04
K  0.9716  0.9716  0.9432  6 K 3.41-3.70, 4 Be 3.42-3.69, 4 Ni 3.51
K  0.7768  0.2768  0.5536  4 Ni 3.40-3.72, 6 K 3.41-3.70, 4 Be 3.49
Ni  0.5844  0.5844  0.1689  2 Be 2.04

Calculated values
formation enthalpy at 0 K	57	kJ/mol of atoms
SG	Imm2 (44)
total magnetic moment	0.0	Bohr magnetons per cell
total energy	-10.05	eV per cell

A plane-wave DFT calculation with GGA-PBEsol was carried out for a relaxed structure of TaTlSb.

a = 4.7394 Å, b = 4.7394 Å, c = 4.7394 Å
α = 60.00°, β = 60.00°, γ = 60.00°
Closest atoms and distances in Å follow each position.
Fractional coordinates of all 3 atoms:
Tl  0.0000  0.0000  0.0000  4 Ta 2.90
Ta  0.2500  0.2500  0.2500  4 Tl 2.90, 4 Sb 2.90
Sb  0.5000  0.5000  0.5000  4 Ta 2.90

Calculated values
SG	F-43m (216)
total magnetic moment	0.0	Bohr magnetons per cell
ΔE_f (raw)	0.7041	eV per atom
total energy	-17.63	eV per cell

- Which formula does entry 3 have?
  Tl3Hg2

Please write out number 11 again, unchanged.
A plane-wave DFT calculation with GGA-PBEsol was carried out for a relaxed structure of K2BeNi.

a = 3.6965 Å, b = 5.4677 Å, c = 6.1936 Å
α = 116.19°, β = 107.36°, γ = 90.00°
Closest atoms and distances in Å follow each position.
Fractional coordinates of all 4 atoms:
Be  0.1672  0.6672  0.3343  2 Ni 2.04
K  0.9716  0.9716  0.9432  6 K 3.41-3.70, 4 Be 3.42-3.69, 4 Ni 3.51
K  0.7768  0.2768  0.5536  4 Ni 3.40-3.72, 6 K 3.41-3.70, 4 Be 3.49
Ni  0.5844  0.5844  0.1689  2 Be 2.04

Calculated values
formation enthalpy at 0 K	57	kJ/mol of atoms
SG	Imm2 (44)
total magnetic moment	0.0	Bohr magnetons per cell
total energy	-10.05	eV per cell